The following is a DFT calculation (PBE) of a relaxed structure of La3Ho2TmSe6.

a b c (Å): 7.147 7.147 7.391
angles (deg): 99.28 99.28 120.16
Fractional coordinates of all 12 atoms:
La 0.000 0.000 0.000
La 0.332 0.668 0.000
La 0.668 0.332 0.000
Ho 0.167 0.833 0.500
Ho 0.833 0.167 0.500
Tm 0.500 0.500 0.500
Se 0.094 0.424 0.273
Se 0.245 0.245 0.728
Se 0.424 0.094 0.273
Se 0.576 0.906 0.727
Se 0.755 0.755 0.272
Se 0.906 0.576 0.727

ρ in g/cm³: 7.5
Symmetry: No. 12
Formation energy without anion corrections in meV/atom: -1863
DOS(E_F) in states/eV/cell: 6.1